# 1
{
  "formula": "Si2B",
  "functional": "PBE-GGA",
  "state": "relaxed",
  "relative_energy_mev_per_atom": 70.5,
  "n_ef_per_ev_cell": 1.470,
  "cell": [[3.258, 0.000, 0.000], [-1.412, 4.847, 0.000], [-0.195, -1.863, 5.714]],
  "species": ["Si", "Si", "Si", "Si", "B", "B"],
  "fractional_positions": [[0.000, 0.000, 0.000], [0.030, 0.993, 0.406], [0.190, 0.357, 0.789], [0.770, 0.529, 0.457], [0.568, 0.119, 0.234], [0.790, 0.589, 0.799]]
}

***

# 2
{
  "formula": "Si2B",
  "functional": "PBE-GGA",
  "state": "relaxed",
  "relative_energy_mev_per_atom": 54.9,
  "n_ef_per_ev_cell": 2.584,
  "cell": [[3.408, 0.000, 0.000], [-0.011, 4.992, 0.000], [-1.693, -2.443, 5.260]],
  "species": ["Si", "Si", "Si", "Si", "B", "B"],
  "fractional_positions": [[0.000, 0.000, 0.000], [0.185, 0.448, 0.372], [0.375, 0.375, 0.751], [0.686, 0.787, 0.374], [0.515, 0.796, 0.030], [0.855, 0.140, 0.712]]
}

***

# 3
{
  "formula": "SiB4",
  "functional": "PBE-GGA",
  "state": "relaxed",
  "relative_energy_mev_per_atom": 0.0,
  "n_ef_per_ev_cell": 0.339,
  "cell": [[3.109, 1.795, 4.146], [-3.109, 1.795, 4.146], [0.000, -3.590, 4.146]],
  "species": ["Si", "Si", "Si", "B", "B", "B", "B", "B", "B", "B", "B", "B", "B", "B", "B"],
  "fractional_positions": [[0.000, 0.000, 0.000], [0.175, 0.175, 0.175], [0.825, 0.825, 0.825], [0.177, 0.486, 0.486], [0.225, 0.678, 0.678], [0.322, 0.322, 0.775], [0.322, 0.775, 0.322], [0.486, 0.177, 0.486], [0.486, 0.486, 0.177], [0.514, 0.514, 0.823], [0.514, 0.823, 0.514], [0.678, 0.225, 0.678], [0.678, 0.678, 0.225], [0.775, 0.322, 0.322], [0.823, 0.514, 0.514]]
}

***

# 4
{
  "formula": "Si4B",
  "functional": "PBE-GGA",
  "state": "relaxed",
  "energy_ev_per_atom": -4.937,
  "n_ef_per_ev_cell": 1.839,
  "cell": [[4.126, 0.000, 0.000], [0.000, 4.126, 0.000], [0.000, 0.000, 4.126]],
  "species": ["Si", "Si", "Si", "Si", "B"],
  "fractional_positions": [[0.000, 0.000, 0.000], [0.000, 0.500, 0.500], [0.500, 0.000, 0.500], [0.500, 0.500, 0.000], [0.500, 0.500, 0.500]]
}